Below is Li2VNiP after structural relaxation, with properties calculated at the PBE level.

Cell lengths 4.1296, 4.1496, 4.1296 Å; angles 90.00, 90.00, 90.00 degrees
With the nearest neighbours (Å) after each atom.
Sites, in units of the cell vectors:
P: 0.0000 0.5000 0.0000  2 Ni 2.07
Li: 0.0000 0.0000 0.5000  2 Ni 2.06
Ni: 0.0000 0.0000 0.0000  4 Li 2.06, 2 P 2.07
Li: 0.5000 0.0000 0.0000  2 Ni 2.06
V: 0.5000 0.5000 0.5000  4 P 2.92, 8 Li 2.93

- Volume: 70.8 Å³ per cell
- Space-group type: No. 123
- Energy: -0.32708 Ry per atom
- Energy of formation from the pure elements: 377 meV/atom